(1)
Here is a relaxed structure of Zr3Tc5N12 from Alexandria via LeMat-Bulk. Energies are from PBE-GGA.

Lattice parameters (Å, degrees): 10.7184 10.7184 10.7184 109.47 109.47 109.47
Closest atoms and distances in Å follow each position.
Atoms (fractional coordinates):
N 0.0323 0.4075 0.8200  2 Tc 1.86-2.05
N 0.7123 0.1247 0.0323  2 Tc 1.86-2.05
N 0.5875 0.7123 0.6800  2 Tc 1.86-2.05
N 0.2877 0.8753 0.9677  2 Tc 1.86-2.05
N 0.5323 0.2123 0.1247  2 Tc 1.86-2.05
N 0.3200 0.7877 0.4125  2 Tc 1.86-2.05
N 0.1247 0.7123 0.5323  2 Tc 1.86-2.05
N 0.4125 0.2877 0.3200  2 Tc 1.86-2.05
N 0.4677 0.6800 0.0925  2 Tc 1.86-2.05
N 0.1800 0.0875 0.7123  2 Tc 1.86-2.05
N 0.8753 0.2877 0.4677  2 Tc 1.86-2.05
N 0.0925 0.9125 0.1247  2 Tc 1.86-2.05
N 0.2123 0.5323 0.6247  2 Tc 1.86-2.05
N 0.1800 0.0925 0.9677  2 Tc 1.86-2.05
N 0.9075 0.8200 0.5323  2 Tc 1.86-2.05
N 0.5925 0.9677 0.6800  2 Tc 1.86-2.05
N 0.5323 0.3200 0.9075  2 Tc 1.86-2.05
N 0.6247 0.0323 0.2123  2 Tc 1.86-2.05
N 0.0875 0.1800 0.2123  2 Tc 1.86-2.05
N 0.5875 0.8753 0.4075  2 Tc 1.86-2.05
N 0.4125 0.1247 0.5925  2 Tc 1.86-2.05
N 0.4075 0.0323 0.3200  2 Tc 1.86-2.05
N 0.0875 0.9075 0.3753  2 Tc 1.86-2.05
N 0.3753 0.4075 0.0875  2 Tc 1.86-2.05
N 0.6800 0.2123 0.5875  2 Tc 1.86-2.05
N 0.9677 0.3753 0.2877  2 Tc 1.86-2.05
N 0.0925 0.1800 0.4677  2 Tc 1.86-2.05
N 0.9075 0.0875 0.8753  2 Tc 1.86-2.05
N 0.6800 0.4677 0.5925  2 Tc 1.86-2.05
N 0.8200 0.9125 0.2877  2 Tc 1.86-2.05
N 0.4677 0.7877 0.8753  2 Tc 1.86-2.05
N 0.9677 0.5925 0.1800  2 Tc 1.86-2.05
N 0.5925 0.6247 0.4125  2 Tc 1.86-2.05
N 0.4075 0.3753 0.5875  2 Tc 1.86-2.05
N 0.7123 0.5875 0.1800  2 Tc 1.86-2.05
N 0.3200 0.5323 0.4075  2 Tc 1.86-2.05
N 0.8200 0.9075 0.0323  2 Tc 1.86-2.05
N 0.2877 0.4125 0.8200  2 Tc 1.86-2.05
N 0.3753 0.9677 0.7877  2 Tc 1.86-2.05
N 0.7877 0.4677 0.3753  2 Tc 1.86-2.05
N 0.2123 0.6800 0.0875  2 Tc 1.86-2.05
N 0.6247 0.5925 0.9125  2 Tc 1.86-2.05
N 0.1247 0.4125 0.0925  2 Tc 1.86-2.05
N 0.7877 0.3200 0.9125  2 Tc 1.86-2.05
N 0.8753 0.5875 0.9075  2 Tc 1.86-2.05
N 0.0323 0.6247 0.7123  2 Tc 1.86-2.05
N 0.9125 0.0925 0.6247  2 Tc 1.86-2.05
N 0.9125 0.8200 0.7877  2 Tc 1.86-2.05
Tc 0.5000 0.5000 0.5000  6 N 2.05
Tc 0.3750 0.2500 0.1250  4 N 1.86
Tc 0.8750 0.6250 0.7500  4 N 1.86
Tc 0.5000 0.0000 0.5000  6 N 2.05
Tc 0.0000 0.5000 0.0000  6 N 2.05
Tc 0.0000 0.0000 0.5000  6 N 2.05
Tc 0.5000 0.5000 0.0000  6 N 2.05
Tc 0.6250 0.8750 0.2500  4 N 1.86
Tc 0.0000 0.5000 0.5000  6 N 2.05
Tc 0.1250 0.7500 0.3750  4 N 1.86
Tc 0.2500 0.8750 0.1250  4 N 1.86
Tc 0.7500 0.6250 0.3750  4 N 1.86
Tc 0.3750 0.1250 0.7500  4 N 1.86
Tc 0.7500 0.1250 0.8750  4 N 1.86
Tc 0.0000 0.0000 0.0000  6 N 2.05
Tc 0.2500 0.3750 0.6250  4 N 1.86
Tc 0.8750 0.2500 0.6250  4 N 1.86
Tc 0.1250 0.3750 0.2500  4 N 1.86
Tc 0.6250 0.7500 0.8750  4 N 1.86
Tc 0.5000 0.0000 0.0000  6 N 2.05
Zr 0.3750 0.7500 0.6250  8 N 2.36-2.40
Zr 0.7500 0.3750 0.1250  8 N 2.36-2.40
Zr 0.6250 0.2500 0.3750  8 N 2.36-2.40
Zr 0.2500 0.6250 0.8750  8 N 2.36-2.40
Zr 0.1250 0.2500 0.8750  8 N 2.36-2.40
Zr 0.6250 0.3750 0.7500  8 N 2.36-2.40
Zr 0.1250 0.8750 0.7500  8 N 2.36-2.40
Zr 0.8750 0.7500 0.1250  8 N 2.36-2.40
Zr 0.3750 0.6250 0.2500  8 N 2.36-2.40
Zr 0.2500 0.1250 0.3750  8 N 2.36-2.40
Zr 0.8750 0.1250 0.2500  8 N 2.36-2.40
Zr 0.7500 0.8750 0.6250  8 N 2.36-2.40

Values from the calculation:
Space-group type: Ia-3d

=====

(2)
Here is a relaxed structure of ZrTc3N from Alexandria via LeMat-Bulk. Energies are from PBE-GGA.

Lattice parameters (Å, degrees): 4.1360 4.1360 4.1360 90.00 90.00 90.00
Closest atoms and distances in Å follow each position.
Atoms (fractional coordinates):
Tc 0.5000 0.0000 0.0000  2 N 2.07
Tc 0.0000 0.0000 0.5000  2 N 2.07
Tc 0.0000 0.5000 0.0000  2 N 2.07
N 0.0000 0.0000 0.0000  6 Tc 2.07
Zr 0.5000 0.5000 0.5000  12 Tc 2.92

Values from the calculation:
Space-group type: Pm-3m

=====

(3)
Here is a relaxed structure of ZrTcN from Alexandria via LeMat-Bulk. Energies are from PBE-GGA.

Lattice parameters (Å, degrees): 5.1552 3.1915 10.1868 90.00 90.00 90.00
Closest atoms and distances in Å follow each position.
Atoms (fractional coordinates):
N 0.2500 0.2500 0.2500  2 Tc 2.07, 4 Zr 2.31
N 0.7500 0.2500 0.2500  2 Tc 2.07, 4 Zr 2.31
N 0.7500 0.7500 0.7500  2 Tc 2.07, 4 Zr 2.31
N 0.2500 0.7500 0.7500  2 Tc 2.07, 4 Zr 2.31
Zr 0.0000 0.7500 0.3539  4 N 2.31
Zr 0.5000 0.7500 0.1461  4 N 2.31
Zr 0.5000 0.2500 0.8539  4 N 2.31
Zr 0.0000 0.2500 0.6461  4 N 2.31
Tc 0.5000 0.7500 0.5912  2 N 2.07
Tc 0.0000 0.2500 0.0912  2 N 2.07
Tc 0.0000 0.7500 0.9088  2 N 2.07
Tc 0.5000 0.2500 0.4088  2 N 2.07

Values from the calculation:
Space-group type: Imma

=====

(4)
Here is a relaxed structure of TeN from Alexandria via LeMat-Bulk. Energies are from PBE-GGA.

Lattice parameters (Å, degrees): 3.7331 6.3912 12.3836 90.00 90.00 90.00
Closest atoms and distances in Å follow each position.
Atoms (fractional coordinates):
Te 0.0000 0.7922 0.8600  3 N 1.98-2.17
Te 0.5000 0.1632 0.0000  2 N 2.08
Te 0.0000 0.8368 0.5000  2 N 2.08
Te 0.5000 0.2078 0.6400  3 N 1.98-2.17
Te 0.0000 0.7922 0.1400  3 N 1.98-2.17
Te 0.5000 0.2078 0.3600  3 N 1.98-2.17
N 0.5000 0.9657 0.8667  3 Te 2.08-2.17
N 0.0000 0.0343 0.3667  3 Te 2.08-2.17
N 0.5000 0.3565 0.5000  2 Te 1.98
N 0.0000 0.6435 0.0000  2 Te 1.98
N 0.5000 0.9657 0.1333  3 Te 2.08-2.17
N 0.0000 0.0343 0.6333  3 Te 2.08-2.17

Values from the calculation:
Space-group type: Pmmn

=====

(5)
Here is a relaxed structure of TeN from Alexandria via LeMat-Bulk. Energies are from PBE-GGA.

Lattice parameters (Å, degrees): 5.0535 5.0535 5.0535 90.00 90.00 90.00
Closest atoms and distances in Å follow each position.
Atoms (fractional coordinates):
N 0.0000 0.0000 0.0000  6 Te 2.53
N 0.5000 0.0000 0.5000  6 Te 2.53
N 0.5000 0.5000 0.0000  6 Te 2.53
N 0.0000 0.5000 0.5000  6 Te 2.53
Te 0.0000 0.0000 0.5000  6 N 2.53
Te 0.5000 0.0000 0.0000  6 N 2.53
Te 0.0000 0.5000 0.0000  6 N 2.53
Te 0.5000 0.5000 0.5000  6 N 2.53

Values from the calculation:
Space-group type: Fm-3m

=====

(6)
Here is a relaxed structure of TeN2 from Alexandria via LeMat-Bulk. Energies are from PBE-GGA.

Lattice parameters (Å, degrees): 5.8290 5.8290 4.0320 69.80 69.80 40.47
Closest atoms and distances in Å follow each position.
Atoms (fractional coordinates):
N 0.1743 0.1743 0.0768  3 Te 2.04-2.08
N 0.5757 0.5757 0.6745  3 Te 2.04-2.08
N 0.4243 0.4243 0.3255  3 Te 2.04-2.08
N 0.8257 0.8257 0.9232  3 Te 2.04-2.08
Te 0.3750 0.3750 0.8748  6 N 2.04-2.08
Te 0.6250 0.6250 0.1252  6 N 2.04-2.08

Values from the calculation:
Space-group type: C2/m

=====

(7)
Here is a relaxed structure of TeN4 from Alexandria via LeMat-Bulk. Energies are from PBE-GGA.

Lattice parameters (Å, degrees): 4.0709 4.0709 4.0709 90.00 90.00 90.00
Closest atoms and distances in Å follow each position.
Atoms (fractional coordinates):
N 0.5000 0.0000 0.5000  2 Te 2.04
N 0.0000 0.5000 0.5000  2 Te 2.04
N 0.0000 0.0000 0.0000  12 N 2.88
N 0.5000 0.5000 0.0000  2 Te 2.04
Te 0.5000 0.5000 0.5000  6 N 2.04

Values from the calculation:
Space-group type: Pm-3m

=====

(8)
Here is a relaxed structure of TeN from Alexandria via LeMat-Bulk. Energies are from PBE-GGA.

Lattice parameters (Å, degrees): 3.7892 3.7892 8.6449 90.00 90.00 120.00
Closest atoms and distances in Å follow each position.
Atoms (fractional coordinates):
Te 0.6667 0.3333 0.2500  3 N 2.19
Te 0.3333 0.6667 0.7500  3 N 2.19
N 0.3333 0.6667 0.2500  3 Te 2.19
N 0.6667 0.3333 0.7500  3 Te 2.19

Values from the calculation:
Space-group type: P6_3/mmc

=====

(9)
Here is a relaxed structure of TeN2 from Alexandria via LeMat-Bulk. Energies are from PBE-GGA.

Lattice parameters (Å, degrees): 3.0630 3.0641 11.9546 119.37 118.51 90.13
Closest atoms and distances in Å follow each position.
Atoms (fractional coordinates):
N 0.0327 0.1870 0.4607  1 N 1.11
N 0.7774 0.9332 0.3331  1 N 1.11
Te 0.3995 0.5661 0.8969  4 Te 3.06

Values from the calculation:
Space-group type: P1

=====

Values for energy relative to the elements, uncorrected, eV per atom, ordered as above
-0.312, -0.253, -0.731, 0.996, 1.360, 1.325, 3.090, 1.227, 0.108
Values for spin magnetization, Bohr magnetons per cell, ordered as above
0.3, 0.0, 0.0, 0.0, 0.0, 0.0, 5.2, 0.0, 0.0